RbLi: relaxed, GGA-PBE.

Calculated values
The calculation puts the energy relative to the elements at 0.183 eV/atom. As for the total energy: -20.120 eV per cell. Its total magnetization is 0.0 μB per cell.

a b c (Å): 11.0592 11.0592 6.9275
angles (deg): 90.00 90.00 90.00
Atoms (fractional coordinates):
Rb  0.0000  0.7149  0.5000
Rb  0.7149  0.0000  0.5000
Rb  0.2149  0.5000  0.0000
Rb  0.2851  0.0000  0.5000
Rb  0.5000  0.7851  0.0000
Rb  0.5000  0.2149  0.0000
Rb  0.7851  0.5000  0.0000
Rb  0.0000  0.2851  0.5000
Li  0.8642  0.1358  0.0000
Li  0.3642  0.6358  0.5000
Li  0.6358  0.3642  0.5000
Li  0.3642  0.3642  0.5000
Li  0.1358  0.8642  0.0000
Li  0.8642  0.8642  0.0000
Li  0.6358  0.6358  0.5000
Li  0.1358  0.1358  0.0000

---

AcLa2HoTe5: relaxed, GGA-PBE.

Calculated values
Its raw formation energy is -1.0619 eV per atom. As for the total energy: -43.806 eV per cell. Its total magnetization is 1.3 μB per cell.

a b c (Å): 5.4952 5.4952 12.1966
angles (deg): 90.00 90.00 90.00
Site moments in Bohr magnetons follow the coordinates.
Atoms (fractional coordinates):
Ho  0.0000  0.0000  0.5000  0.06
Te  0.5000  0.0000  0.5000  -0.01
Te  0.0000  0.0000  0.2559  0.00
Te  0.5000  0.5000  0.0000  0.01
Te  0.0000  0.0000  0.7441  0.00
Te  0.0000  0.5000  0.5000  -0.01
La  0.5000  0.5000  0.3403  0.33
La  0.5000  0.5000  0.6597  0.33
Ac  0.0000  0.0000  0.0000  0.01

---

Pr6HoEr12: relaxed, GGA-PBE.

Calculated values
The value obtained for the polymorph energy (0 for the lowest one) is 0.00 eV per formula unit. The calculation puts the energy relative to the elements at 0.128 eV/atom. As for the total energy: -85.575 eV per cell. Its total magnetization is 0.0 μB per cell.

a b c (Å): 8.6708 8.6708 8.6708
angles (deg): 79.57 79.57 79.57
Atoms (fractional coordinates):
Er  0.1376  0.1378  0.4843
Er  0.8624  0.8622  0.5157
Er  0.5129  0.5130  0.1954
Er  0.1378  0.4843  0.1376
Er  0.8622  0.5157  0.8624
Er  0.5130  0.1954  0.5129
Er  0.8046  0.4871  0.4870
Er  0.4871  0.4870  0.8046
Er  0.4870  0.8046  0.4871
Er  0.4843  0.1376  0.1378
Er  0.5157  0.8624  0.8622
Er  0.1954  0.5129  0.5130
Pr  0.7667  0.7668  0.1646
Pr  0.2333  0.2332  0.8354
Pr  0.7668  0.1646  0.7667
Pr  0.8354  0.2333  0.2332
Pr  0.2332  0.8354  0.2333
Pr  0.1646  0.7667  0.7668
Ho  0.0000  0.0000  0.0000

---

Tm6InPd5: relaxed, GGA-PBE.

Calculated values
The calculation puts the energy relative to the elements at -0.835 eV/atom. As for the total energy: -65.552 eV per cell. Its total magnetization is 0.0 μB per cell.

a b c (Å): 4.9672 6.9563 7.9047
angles (deg): 90.00 108.57 90.00
Atoms (fractional coordinates):
Pd  0.6657  0.5000  0.3342
Pd  0.6534  0.0000  0.3112
Pd  0.3343  0.5000  0.6658
Pd  0.3466  0.0000  0.6888
Pd  0.0000  0.5000  0.0000
Tm  0.8287  0.2534  0.6561
Tm  0.5000  0.7361  0.0000
Tm  0.8287  0.7466  0.6561
Tm  0.5000  0.2639  0.0000
Tm  0.1713  0.2534  0.3439
Tm  0.1713  0.7466  0.3439
In  0.0000  0.0000  0.0000